Material: Ac2LaSbN2
Method: DFT, GGA-PBE
State: optimized geometry

Geometry as extended XYZ:
```
12
Lattice="-0.5344 3.5605 4.9689 -7.4434 -1.7798 0.4747 2.9206 -5.4298 4.2049" Properties=species:S:1:pos:R:3 pbc="T T T"
Ac 0.2887 -1.5489 3.0353
Ac -2.6241 -4.3754 4.7474
Ac -5.3459 -2.1002 6.6131
Ac -2.4331 0.7264 4.9010
La 1.7280 -4.4077 5.2387
La -6.7852 0.7586 4.4098
Sb -0.9316 -1.8513 6.9096
Sb -4.1256 -1.7978 2.7389
N -0.6285 0.5484 3.3490
N -0.8928 2.3091 5.8062
N -4.1644 -5.9582 3.8423
N -4.4287 -4.1975 6.2995
```

electronic total energy = -6.847 eV per atom
formation energy from raw total energies = -1.1946 eV per atom
spin magnetization = 0.00 μB/cell
SG = P2_1/m, No. 11